# 1
The following is a PBE calculation of a geometry-optimized Ce3PrSm2S6 structure, from the Alexandria database.

Cell lengths 6.988, 6.988, 6.998 Å; angles 99.59, 99.59, 120.03 degrees
Atoms (fractional coordinates):
Ce: 0.000 0.000 0.000
Ce: 0.335 0.665 0.000
Ce: 0.665 0.335 0.000
Pr: 0.500 0.500 0.500
Sm: 0.167 0.833 0.500
Sm: 0.833 0.167 0.500
S: 0.078 0.416 0.249
S: 0.245 0.245 0.749
S: 0.416 0.078 0.249
S: 0.584 0.922 0.751
S: 0.755 0.755 0.251
S: 0.922 0.584 0.751

Values from the calculation:
total magnetization: 2.56 μB per cell
ρ: 6.28 Mg/m³
ΔE_f (raw): -2.038 eV per atom
symmetry: C2/m (12)
V: 278.9 Å³/cell

# 2
The following is a PBE calculation of a geometry-optimized MnCu3Sb structure, from the Alexandria database.

Cell lengths 4.811, 4.811, 4.811 Å; angles 90.00, 90.00, 90.00 degrees
Atoms (fractional coordinates):
Mn: 0.000 0.000 0.000
Cu: 0.000 0.500 0.500
Cu: 0.500 0.000 0.500
Cu: 0.500 0.500 0.000
Sb: 0.500 0.500 0.500

Values from the calculation:
total magnetization: 4.98 μB per cell
ρ: 5.48 Mg/m³
ΔE_f (raw): 0.919 eV per atom
symmetry: Pm-3m (221)
V: 111.3 Å³/cell
relative energy among the computed polymorphs: 0.0 kJ/mol of formula units